Record 1
{
  "formula": "MgZnIn2",
  "functional": "meta-GGA SCAN",
  "state": "PBEsol geometry",
  "spacegroup": "I4/mmm",
  "relative_energy_kcal_per_mol_atoms": 0.23,
  "formation_energy_ev_per_atom": -0.0196,
  "final_energy_ev_per_atom": -21.335,
  "lattice": [[4.381, 0.000, 0.000], [0.000, 4.381, 0.000], [-2.190, -2.190, 4.385]],
  "species": ["Zn", "Mg", "In", "In"],
  "fractional_positions": [[0.000, 0.000, 0.000], [0.500, 0.500, 0.000], [0.750, 0.250, 0.500], [0.250, 0.750, 0.500]]
}

=====

Record 2
{
  "formula": "MgZnIn2",
  "functional": "meta-GGA SCAN",
  "state": "PBEsol geometry",
  "spacegroup": "P4/mmm",
  "relative_energy_kcal_per_mol_atoms": 0.00,
  "formation_energy_ev_per_atom": -0.0298,
  "final_energy_ev_per_atom": -21.345,
  "lattice": [[-2.632, -1.878, 2.746], [3.432, -2.187, 1.795], [0.621, 3.335, 2.876]],
  "species": ["Zn", "Mg", "In", "In"],
  "fractional_positions": [[0.500, 0.000, 0.000], [0.500, 0.500, 0.500], [0.000, 0.000, 0.500], [0.000, 0.500, 0.000]]
}

=====

Record 3
{
  "formula": "MgZnIn2",
  "functional": "meta-GGA SCAN",
  "state": "PBEsol geometry",
  "spacegroup": "P4mm",
  "relative_energy_kcal_per_mol_atoms": 0.62,
  "formation_energy_ev_per_atom": -0.0029,
  "final_energy_ev_per_atom": -21.318,
  "lattice": [[3.188, 0.034, 0.000], [-0.034, 3.188, 0.000], [0.000, 0.000, 8.382]],
  "species": ["Zn", "Mg", "In", "In"],
  "fractional_positions": [[0.500, 0.500, 0.263], [0.000, 0.000, 0.470], [0.000, 0.000, 0.031], [0.500, 0.500, 0.736]]
}

=====

Record 4
{
  "formula": "MgZnIn2",
  "functional": "meta-GGA SCAN",
  "state": "PBEsol geometry",
  "spacegroup": "Cm",
  "relative_energy_kcal_per_mol_atoms": 0.60,
  "formation_energy_ev_per_atom": -0.0037,
  "final_energy_ev_per_atom": -21.319,
  "lattice": [[-1.866, -2.289, 1.409], [4.346, -2.825, 1.167], [0.534, 3.971, 3.358]],
  "species": ["Zn", "Mg", "In", "In"],
  "fractional_positions": [[0.753, 0.255, 0.507], [0.492, 0.491, 0.983], [0.008, 0.019, 0.016], [0.247, 0.736, 0.494]]
}